Record 1
# Tb4Pr5Tm3, relaxed, DFT PBE
# DOS at the Fermi energy (states/eV/cell): 35.55
# Formation energy from the elements (meV/atom): 254
# Final energy (eV/atom): -4.399
data_Tb4Pr5Tm3
_chemical_formula_sum 'Tb8 Pr10 Tm6'
_space_group_name_H-M_alt 'C 1 2/m 1'
_space_group_IT_number 12
_cell_length_a 12.746
_cell_length_b 5.827
_cell_length_c 10.869
_cell_angle_alpha 90.00
_cell_angle_beta 95.48
_cell_angle_gamma 90.00
loop_
_space_group_symop_operation_xyz
'x,y,z'
'-x,-y,-z'
'-x,y,-z'
'x,-y,z'
'x+1/2,y+1/2,z'
'-x+1/2,-y+1/2,-z'
'-x+1/2,y+1/2,-z'
'x+1/2,-y+1/2,z'
loop_
_atom_site_label
_atom_site_type_symbol
_atom_site_fract_x
_atom_site_fract_y
_atom_site_fract_z
Tb1 Tb 0.081 0.000 0.255
Tb2 Tb 0.150 0.000 0.944
Pr1 Pr 0.000 0.000 0.500
Pr2 Pr 0.100 0.500 0.093
Pr3 Pr 0.148 0.500 0.764
Tm1 Tm 0.000 0.500 0.500
Tm2 Tm 0.244 0.500 0.397

Record 2
# Tb2Pr4Tm, relaxed, DFT PBE
# Energy above the lowest structure with this stoichiometry (meV per atom): 0.0
# DOS at the Fermi energy (states/eV/cell): 86.15
# Formation energy from the elements (meV/atom): 62
# Final energy (eV/atom): -4.631
data_Tb2Pr4Tm
_chemical_formula_sum 'Tb16 Pr32 Tm8'
_space_group_name_H-M_alt 'F d d 2'
_space_group_IT_number 43
_space_group_name_Hall 'F 2 -2d'
_cell_length_a 12.095
_cell_length_b 24.451
_cell_length_c 6.512
_cell_angle_alpha 90.00
_cell_angle_beta 90.00
_cell_angle_gamma 90.00
loop_
_atom_site_label
_atom_site_type_symbol
_atom_site_fract_x
_atom_site_fract_y
_atom_site_fract_z
Tb1 Tb 0.024 0.216 0.000
Pr1 Pr 0.052 0.070 0.946
Pr2 Pr 0.069 0.144 0.477
Tm1 Tm 0.000 0.000 0.444

Record 3
# Tb10Pr4Tm, relaxed, DFT PBE
# DOS at the Fermi energy (states/eV/cell): 45.10
# Formation energy from the elements (meV/atom): 258
# Final energy (eV/atom): -4.402
data_Tb10Pr4Tm
_chemical_formula_sum 'Tb20 Pr8 Tm2'
_space_group_name_H-M_alt 'I 4/m m m'
_space_group_IT_number 139
_space_group_name_Hall '-I 4 2'
_cell_length_a 11.366
_cell_length_b 11.366
_cell_length_c 7.965
_cell_angle_alpha 90.00
_cell_angle_beta 90.00
_cell_angle_gamma 90.00
loop_
_atom_site_label
_atom_site_type_symbol
_atom_site_fract_x
_atom_site_fract_y
_atom_site_fract_z
Tb1 Tb 0.000 0.208 0.208
Tb2 Tb 0.000 0.500 0.250
Pr1 Pr 0.228 0.228 0.500
Tm1 Tm 0.000 0.000 0.500

Record 4
# Tb5Pr4Tm2, relaxed, DFT PBE
# Energy above the lowest structure with this stoichiometry (meV per atom): 175.6
# DOS at the Fermi energy (states/eV/cell): 31.66
# Formation energy from the elements (meV/atom): 285
# Final energy (eV/atom): -4.371
data_Tb5Pr4Tm2
_chemical_formula_sum 'Tb10 Pr8 Tm4'
_space_group_name_H-M_alt 'I m m m'
_space_group_IT_number 71
_space_group_name_Hall '-I 2 2'
_cell_length_a 3.511
_cell_length_b 9.358
_cell_length_c 23.049
_cell_angle_alpha 90.00
_cell_angle_beta 90.00
_cell_angle_gamma 90.00
loop_
_atom_site_label
_atom_site_type_symbol
_atom_site_fract_x
_atom_site_fract_y
_atom_site_fract_z
Tb1 Tb 0.000 0.000 0.000
Tb2 Tb 0.000 0.297 0.349
Pr1 Pr 0.000 0.207 0.500
Pr2 Pr 0.000 0.500 0.096
Tm1 Tm 0.000 0.500 0.230

Record 5
# Tb5Pr4Tm4, relaxed, DFT PBE
# DOS at the Fermi energy (states/eV/cell): 37.03
# Formation energy from the elements (meV/atom): 23
# Final energy (eV/atom): -4.605
data_Tb5Pr4Tm4
_chemical_formula_sum 'Tb10 Pr8 Tm8'
_space_group_name_H-M_alt 'I 4/m'
_space_group_IT_number 87
_space_group_name_Hall '-I 4'
_cell_length_a 12.942
_cell_length_b 12.942
_cell_length_c 5.063
_cell_angle_alpha 90.00
_cell_angle_beta 90.00
_cell_angle_gamma 90.00
loop_
_atom_site_label
_atom_site_type_symbol
_atom_site_fract_x
_atom_site_fract_y
_atom_site_fract_z
Tb1 Tb 0.000 0.000 0.000
Tb2 Tb 0.040 0.189 0.500
Pr1 Pr 0.079 0.381 0.000
Tm1 Tm 0.153 0.770 0.000

Record 6
# Tb6PrTm, relaxed, DFT PBE
# Energy above the lowest structure with this stoichiometry (meV per atom): 176.1
# DOS at the Fermi energy (states/eV/cell): 13.38
# Formation energy from the elements (meV/atom): 200
# Final energy (eV/atom): -4.429
data_Tb6PrTm
_chemical_formula_sum 'Tb6 Pr1 Tm1'
_space_group_name_H-M_alt 'P -1'
_space_group_IT_number 2
_cell_length_a 6.557
_cell_length_b 6.734
_cell_length_c 6.971
_cell_angle_alpha 117.83
_cell_angle_beta 104.57
_cell_angle_gamma 90.23
loop_
_space_group_symop_operation_xyz
'x,y,z'
'-x,-y,-z'
loop_
_atom_site_label
_atom_site_type_symbol
_atom_site_fract_x
_atom_site_fract_y
_atom_site_fract_z
Tb1 Tb 0.226 0.402 0.469
Tb2 Tb 0.246 0.955 0.997
Tb3 Tb 0.267 0.921 0.516
Pr1 Pr 0.500 0.500 0.000
Tm1 Tm 0.000 0.500 0.000

Record 7
# TbPr3Tm8, relaxed, DFT PBE
# DOS at the Fermi energy (states/eV/cell): 34.81
# Formation energy from the elements (meV/atom): 285
# Final energy (eV/atom): -4.276
data_TbPr3Tm8
_chemical_formula_sum 'Tb2 Pr6 Tm16'
_space_group_name_H-M_alt 'I m m m'
_space_group_IT_number 71
_space_group_name_Hall '-I 2 2'
_cell_length_a 6.391
_cell_length_b 11.289
_cell_length_c 11.376
_cell_angle_alpha 90.00
_cell_angle_beta 90.00
_cell_angle_gamma 90.00
loop_
_atom_site_label
_atom_site_type_symbol
_atom_site_fract_x
_atom_site_fract_y
_atom_site_fract_z
Tb1 Tb 0.000 0.000 0.000
Pr1 Pr 0.000 0.000 0.500
Pr2 Pr 0.000 0.500 0.253
Tm1 Tm 0.000 0.171 0.249
Tm2 Tm 0.248 0.254 0.500

Record 8
# Tb15PrTm4, relaxed, DFT PBE
# DOS at the Fermi energy (states/eV/cell): 27.06
# Formation energy from the elements (meV/atom): 19
# Final energy (eV/atom): -4.587
data_Tb15PrTm4
_chemical_formula_sum 'Tb15 Pr1 Tm4'
_space_group_name_H-M_alt 'P 4/m m m'
_space_group_IT_number 123
_space_group_name_Hall '-P 4 2'
_cell_length_a 5.025
_cell_length_b 5.025
_cell_length_c 25.126
_cell_angle_alpha 90.00
_cell_angle_beta 90.00
_cell_angle_gamma 90.00
loop_
_atom_site_label
_atom_site_type_symbol
_atom_site_fract_x
_atom_site_fract_y
_atom_site_fract_z
Tb1 Tb 0.000 0.000 0.000
Tb2 Tb 0.000 0.000 0.202
Tb3 Tb 0.000 0.000 0.401
Tb4 Tb 0.000 0.500 0.102
Tb5 Tb 0.000 0.500 0.301
Tb6 Tb 0.000 0.500 0.500
Pr1 Pr 0.500 0.500 0.000
Tm1 Tm 0.500 0.500 0.202
Tm2 Tm 0.500 0.500 0.401

Record 9
# Tb2Pr5Tm4, relaxed, DFT PBE
# Energy above the lowest structure with this stoichiometry (meV per atom): 0.0
# DOS at the Fermi energy (states/eV/cell): 30.07
# Formation energy from the elements (meV/atom): 77
# Final energy (eV/atom): -4.563
data_Tb2Pr5Tm4
_chemical_formula_sum 'Tb4 Pr10 Tm8'
_space_group_name_H-M_alt 'C 1 2/m 1'
_space_group_IT_number 12
_cell_length_a 17.728
_cell_length_b 3.557
_cell_length_c 11.653
_cell_angle_alpha 90.00
_cell_angle_beta 93.96
_cell_angle_gamma 90.00
loop_
_space_group_symop_operation_xyz
'x,y,z'
'-x,-y,-z'
'-x,y,-z'
'x,-y,z'
'x+1/2,y+1/2,z'
'-x+1/2,-y+1/2,-z'
'-x+1/2,y+1/2,-z'
'x+1/2,-y+1/2,z'
loop_
_atom_site_label
_atom_site_type_symbol
_atom_site_fract_x
_atom_site_fract_y
_atom_site_fract_z
Tb1 Tb 0.216 0.000 0.351
Pr1 Pr 0.000 0.000 0.000
Pr2 Pr 0.097 0.500 0.535
Pr3 Pr 0.176 0.500 0.071
Tm1 Tm 0.034 0.500 0.260
Tm2 Tm 0.140 0.000 0.795

Record 10
# Tb12Pr7Tm, relaxed, DFT PBE
# Energy above the lowest structure with this stoichiometry (meV per atom): 0.0
# DOS at the Fermi energy (states/eV/cell): 109.91
# Formation energy from the elements (meV/atom): 226
# Final energy (eV/atom): -4.448
data_Tb12Pr7Tm
_chemical_formula_sum 'Tb36 Pr21 Tm3'
_space_group_name_H-M_alt 'R -3'
_space_group_IT_number 148
_space_group_name_Hall '-R 3'
_cell_length_a 12.0770
_cell_length_b 12.0770
_cell_length_c 16.3255
_cell_angle_alpha 90.00
_cell_angle_beta 90.00
_cell_angle_gamma 120.00
loop_
_atom_site_label
_atom_site_type_symbol
_atom_site_fract_x
_atom_site_fract_y
_atom_site_fract_z
Tb1 Tb 0.0285 0.4507 0.2224
Tb2 Tb 0.0530 0.5856 0.5826
Pr1 Pr 0.0000 0.0000 0.0000
Pr2 Pr 0.0572 0.1866 0.2880
Tm1 Tm 0.0000 0.0000 0.5000

Record 11
# Tb2Pr5Tm12, relaxed, DFT PBE
# Energy above the lowest structure with this stoichiometry (meV per atom): 0.0
# DOS at the Fermi energy (states/eV/cell): 26.30
# Formation energy from the elements (meV/atom): 26
# Final energy (eV/atom): -4.543
data_Tb2Pr5Tm12
_chemical_formula_sum 'Tb2 Pr5 Tm12'
_space_group_name_H-M_alt 'P -1'
_space_group_IT_number 2
_cell_length_a 6.153
_cell_length_b 9.410
_cell_length_c 11.224
_cell_angle_alpha 90.10
_cell_angle_beta 100.64
_cell_angle_gamma 108.88
loop_
_space_group_symop_operation_xyz
'x,y,z'
'-x,-y,-z'
loop_
_atom_site_label
_atom_site_type_symbol
_atom_site_fract_x
_atom_site_fract_y
_atom_site_fract_z
Tb1 Tb 0.234 0.156 0.473
Pr1 Pr 0.026 0.685 0.054
Pr2 Pr 0.289 0.527 0.580
Pr3 Pr 0.500 0.000 0.000
Tm1 Tm 0.080 0.052 0.161
Tm2 Tm 0.131 0.419 0.262
Tm3 Tm 0.189 0.793 0.369
Tm4 Tm 0.342 0.896 0.684
Tm5 Tm 0.395 0.262 0.788
Tm6 Tm 0.449 0.633 0.895

Record 12
# TbPr6Tm4, relaxed, DFT PBE
# DOS at the Fermi energy (states/eV/cell): 30.25
# Formation energy from the elements (meV/atom): 300
# Final energy (eV/atom): -4.354
data_TbPr6Tm4
_chemical_formula_sum 'Tb2 Pr12 Tm8'
_space_group_name_H-M_alt 'I -4 2 m'
_space_group_IT_number 121
_space_group_name_Hall 'I -4 2'
_cell_length_a 6.836
_cell_length_b 6.836
_cell_length_c 16.389
_cell_angle_alpha 90.00
_cell_angle_beta 90.00
_cell_angle_gamma 90.00
loop_
_atom_site_label
_atom_site_type_symbol
_atom_site_fract_x
_atom_site_fract_y
_atom_site_fract_z
Tb1 Tb 0.000 0.000 0.000
Pr1 Pr 0.000 0.500 0.000
Pr2 Pr 0.193 0.193 0.821
Tm1 Tm 0.174 0.174 0.613

> Which value of formation energy from the elements does entry 12 give?

300 meV/atom

> formation energy from the elements of number 9 (Tb2Pr5Tm4)?

77 meV/atom

> Look up the DOS at the Fermi energy of the fifth one.

37.03 states/eV/cell